Entry from Alexandria: crystalline YHoWO6 at its relaxed geometry (PBE+U).

Computed properties:
Total moment: 0.000 μB/atom
E: -148.41 eV per cell
DOS(E_F): 0.00 states/eV per cell

Lattice parameters (Å, degrees): 5.5237 5.5237 9.4976 90.00 90.00 120.00
Last column: nearest neighbours and their distance in Å.
Space group P-31c (No. 163)
Inequivalent atoms, fractional coordinates:
Y 0.0000 0.0000 0.0000 (multiplicity 2)  6 O 2.33
Ho 0.3333 0.6667 0.2500 (multiplicity 2)  6 O 2.25
W 0.3333 0.6667 0.7500 (multiplicity 2)  6 O 1.96
O 0.0402 0.3694 0.6355 (multiplicity 12)  1 W 1.96